{
  "formula": "AcZnGePt3",
  "functional": "GGA-PBE",
  "state": "optimized geometry",
  "total_magnetization_mub_per_cell": 0.000,
  "final_energy_ev_per_atom": -5.3786,
  "space_group": "Cmcm",
  "crystal_system": "orthorhombic",
  "delta_e_f_mev_per_atom": -692,
  "lattice_angstrom": [[-4.348, 1.602, -3.552], [0.262, -6.254, -3.141], [-4.261, 0.916, 5.629]],
  "species": ["Ac", "Ac", "Zn", "Zn", "Ge", "Ge", "Pt", "Pt", "Pt", "Pt", "Pt", "Pt"],
  "fractional_positions": [[0.750, 0.280, 0.560], [0.250, 0.720, 0.440], [0.250, 0.984, 0.967], [0.750, 0.016, 0.033], [0.250, 0.385, 0.771], [0.750, 0.615, 0.229], [0.250, 0.191, 0.382], [0.000, 0.292, 0.000], [0.500, 0.708, 0.000], [0.500, 0.292, 0.000], [0.000, 0.708, 0.000], [0.750, 0.809, 0.618]]
}